(1)
The following is a PBE-GGA calculation of crystalline LiSmCu4 at its relaxed geometry, from the Alexandria database.

## Properties
density of states at the Fermi level = 6.511 states/eV/f.u.
E_form = -0.163 eV per atom
space group = F-43m, No. 216
VASP energy = -3.999 eV per atom

Unit cell a=5.0976 b=5.0976 c=5.0976 alpha=60.00 beta=60.00 gamma=60.00
Fractional positions:
Li  0.0000  0.0000  0.0000
Sm  0.2500  0.2500  0.2500
Cu  0.1196  0.6268  0.6268
Cu  0.6268  0.1196  0.6268
Cu  0.6268  0.6268  0.1196
Cu  0.6268  0.6268  0.6268


(2)
The following is a PBE-GGA calculation of crystalline LiSmCu5 at its relaxed geometry, from the Alexandria database.

## Properties
density of states at the Fermi level = 3.166 states/eV/f.u.
E_form = -0.152 eV per atom
space group = Pnma, No. 62
VASP energy = -4.026 eV per atom

Unit cell a=8.1273 b=5.1253 c=10.2845 alpha=90.00 beta=90.00 gamma=90.00
Fractional positions:
Li  0.1392  0.2500  0.1390
Li  0.3608  0.7500  0.6390
Li  0.6392  0.2500  0.3610
Li  0.8608  0.7500  0.8610
Sm  0.2449  0.7500  0.9366
Sm  0.2551  0.2500  0.4366
Sm  0.7449  0.7500  0.5634
Sm  0.7551  0.2500  0.0634
Cu  0.0618  0.2500  0.8979
Cu  0.0693  0.5043  0.6881
Cu  0.0693  0.9957  0.6881
Cu  0.0936  0.7500  0.4829
Cu  0.1814  0.7500  0.2497
Cu  0.3186  0.2500  0.7497
Cu  0.4064  0.2500  0.9829
Cu  0.4307  0.0043  0.1881
Cu  0.4307  0.4957  0.1881
Cu  0.4382  0.7500  0.3979
Cu  0.5618  0.2500  0.6021
Cu  0.5693  0.5043  0.8119
Cu  0.5693  0.9957  0.8119
Cu  0.5936  0.7500  0.0171
Cu  0.6814  0.7500  0.2503
Cu  0.8186  0.2500  0.7503
Cu  0.9064  0.2500  0.5171
Cu  0.9307  0.0043  0.3119
Cu  0.9307  0.4957  0.3119
Cu  0.9382  0.7500  0.1021